(1)
# K2Cd3Te4 PBE optimized geometry
# DFT total energy: -94.581 eV/cell
data_K2Cd3Te4
_symmetry_space_group_name_H-M 'P n m a'
_symmetry_Int_Tables_number 62
_cell_length_a 15.178
_cell_length_b 11.444
_cell_length_c 7.375
_cell_angle_alpha 90.00
_cell_angle_beta 90.00
_cell_angle_gamma 90.00
loop_
_symmetry_equiv_pos_as_xyz
'x,y,z'
'-x,-y,-z'
'-x+1/2,-y,z+1/2'
'x+1/2,y,-z+1/2'
'x+1/2,-y+1/2,-z+1/2'
'-x+1/2,y+1/2,z+1/2'
'-x,y+1/2,-z'
'x,-y+1/2,z'
loop_
_atom_site_label
_atom_site_type_symbol
_atom_site_fract_x
_atom_site_fract_y
_atom_site_fract_z
K1 K 0.000 0.000 0.000
K2 K 0.035 0.250 0.474
Cd1 Cd 0.201 0.750 0.231
Cd2 Cd 0.243 0.097 0.161
Te1 Te 0.131 0.532 0.391
Te2 Te 0.134 0.250 0.923
Te3 Te 0.143 0.750 0.870

---

(2)
# DyTeNO PBE optimized geometry
# total magnetization: 0.0 μB/cell
# energy above the lowest structure with this stoichiometry: 0 meV/atom
data_DyTeNO
_symmetry_space_group_name_H-M 'P c a 21'
_symmetry_Int_Tables_number 29
_cell_length_a 5.562
_cell_length_b 9.215
_cell_length_c 5.644
_cell_angle_alpha 90.00
_cell_angle_beta 90.00
_cell_angle_gamma 90.00
loop_
_symmetry_equiv_pos_as_xyz
'x,y,z'
'-x,-y,z+1/2'
'-x+1/2,y,z+1/2'
'x+1/2,-y,z'
loop_
_atom_site_label
_atom_site_type_symbol
_atom_site_fract_x
_atom_site_fract_y
_atom_site_fract_z
Dy1 Dy 0.033 0.113 0.000
Te1 Te 0.037 0.384 0.475
N1 N 0.230 0.285 0.737
O1 O 0.250 0.974 0.250

---

(3)
# DyTaN2O PBE optimized geometry
# total magnetization: 0.0 μB/cell
# DFT total energy: -191.229 eV/cell
data_DyTaN2O
_symmetry_space_group_name_H-M 'P 1'
_symmetry_Int_Tables_number 1
_cell_length_a 5.585
_cell_length_b 5.603
_cell_length_c 9.678
_cell_angle_alpha 73.51
_cell_angle_beta 73.52
_cell_angle_gamma 60.19
loop_
_symmetry_equiv_pos_as_xyz
'x,y,z'
loop_
_atom_site_label
_atom_site_type_symbol
_atom_site_fract_x
_atom_site_fract_y
_atom_site_fract_z
Dy1 Dy 0.000 0.000 0.000
Dy2 Dy 0.197 0.299 0.249
Dy3 Dy 0.496 0.504 0.489
Dy4 Dy 0.698 0.808 0.744
Ta1 Ta 0.113 0.148 0.630
Ta2 Ta 0.329 0.407 0.875
Ta3 Ta 0.593 0.669 0.122
Ta4 Ta 0.840 0.916 0.361
N1 N 0.018 0.544 0.030
N2 N 0.111 0.388 0.743
N3 N 0.205 0.721 0.219
N4 N 0.250 0.809 0.777
N5 N 0.459 0.987 0.958
N6 N 0.498 0.055 0.522
N7 N 0.616 0.879 0.246
N8 N 0.766 0.294 0.271
O1 O 0.080 0.893 0.502
O2 O 0.609 0.407 0.980
O3 O 0.687 0.247 0.700
O4 O 0.932 0.479 0.462

---

(4)
# TbPmTa PBE optimized geometry
# total magnetization: 4.7 μB/cell
# formation enthalpy at 0 K: 1329 meV/atom
data_TbPmTa
_symmetry_space_group_name_H-M 'F -4 3 m'
_symmetry_Int_Tables_number 216
_symmetry_space_group_name_Hall 'F -4 2 3'
_cell_length_a 7.110
_cell_length_b 7.110
_cell_length_c 7.110
_cell_angle_alpha 90.00
_cell_angle_beta 90.00
_cell_angle_gamma 90.00
loop_
_atom_site_label
_atom_site_type_symbol
_atom_site_fract_x
_atom_site_fract_y
_atom_site_fract_z
Tb1 Tb 0.000 0.000 0.000
Pm1 Pm 0.250 0.250 0.750
Ta1 Ta 0.000 0.000 0.500

---

(5)
# PrHo2Mg3Pt3 PBE optimized geometry
# total magnetization: 0.0 μB/cell
# DFT total energy: -90.381 eV/cell
data_PrHo2Mg3Pt3
_symmetry_space_group_name_H-M 'A m m 2'
_symmetry_Int_Tables_number 38
_cell_length_a 4.093
_cell_length_b 12.857
_cell_length_c 7.402
_cell_angle_alpha 90.00
_cell_angle_beta 90.00
_cell_angle_gamma 90.00
loop_
_symmetry_equiv_pos_as_xyz
'x,y,z'
'-x,-y,z'
'-x,y,z'
'x,-y,z'
'x,y+1/2,z+1/2'
'-x,-y+1/2,z+1/2'
'-x,y+1/2,z+1/2'
'x,-y+1/2,z+1/2'
loop_
_atom_site_label
_atom_site_type_symbol
_atom_site_fract_x
_atom_site_fract_y
_atom_site_fract_z
Pr1 Pr 0.000 0.000 0.000
Ho1 Ho 0.000 0.204 0.619
Mg1 Mg 0.500 0.000 0.657
Mg2 Mg 0.500 0.123 0.294
Pt1 Pt 0.000 0.000 0.422
Pt2 Pt 0.500 0.172 0.911

---

(6)
# NiSnBi2 PBE optimized geometry
# total magnetization: 0.0 μB/cell
# DFT total energy: -64.026 eV/cell
data_NiSnBi2
_symmetry_space_group_name_H-M 'F -4 3 m'
_symmetry_Int_Tables_number 216
_symmetry_space_group_name_Hall 'F -4 2 3'
_cell_length_a 7.395
_cell_length_b 7.395
_cell_length_c 7.395
_cell_angle_alpha 90.00
_cell_angle_beta 90.00
_cell_angle_gamma 90.00
loop_
_atom_site_label
_atom_site_type_symbol
_atom_site_fract_x
_atom_site_fract_y
_atom_site_fract_z
Ni1 Ni 0.000 0.000 0.000
Sn1 Sn 0.250 0.250 0.750
Bi1 Bi 0.000 0.000 0.500
Bi2 Bi 0.250 0.250 0.250

---

(7)
# NaHoMgTe3 PBE optimized geometry
# total magnetization: 0.0 μB/cell
# energy above the lowest structure with this stoichiometry: 7 meV/atom
data_NaHoMgTe3
_symmetry_space_group_name_H-M 'C m c m'
_symmetry_Int_Tables_number 63
_symmetry_space_group_name_Hall '-C 2c 2'
_cell_length_a 4.388
_cell_length_b 14.838
_cell_length_c 11.706
_cell_angle_alpha 90.00
_cell_angle_beta 90.00
_cell_angle_gamma 90.00
loop_
_atom_site_label
_atom_site_type_symbol
_atom_site_fract_x
_atom_site_fract_y
_atom_site_fract_z
Na1 Na 0.000 0.237 0.250
Ho1 Ho 0.000 0.000 0.000
Mg1 Mg 0.000 0.473 0.750
Te1 Te 0.000 0.089 0.750
Te2 Te 0.000 0.362 0.561

---

(8)
# GdY2Al3Cu2Ni PBE optimized geometry
# total magnetization: 0.0 μB/cell
# DFT total energy: -92.716 eV/cell
data_GdY2Al3Cu2Ni
_symmetry_space_group_name_H-M 'A m m 2'
_symmetry_Int_Tables_number 38
_cell_length_a 3.988
_cell_length_b 12.196
_cell_length_c 7.077
_cell_angle_alpha 90.00
_cell_angle_beta 90.00
_cell_angle_gamma 90.00
loop_
_symmetry_equiv_pos_as_xyz
'x,y,z'
'-x,-y,z'
'-x,y,z'
'x,-y,z'
'x,y+1/2,z+1/2'
'-x,-y+1/2,z+1/2'
'-x,y+1/2,z+1/2'
'x,-y+1/2,z+1/2'
loop_
_atom_site_label
_atom_site_type_symbol
_atom_site_fract_x
_atom_site_fract_y
_atom_site_fract_z
Gd1 Gd 0.000 0.000 0.000
Y1 Y 0.000 0.206 0.617
Al1 Al 0.500 0.000 0.642
Al2 Al 0.500 0.116 0.298
Cu1 Cu 0.500 0.167 0.912
Ni1 Ni 0.000 0.000 0.412

---

(9)
# Re2CSeS PBE optimized geometry
# total magnetization: 0.0 μB/cell
# DFT total energy: -41.203 eV/cell
data_Re2CSeS
_symmetry_space_group_name_H-M 'P 3 m 1'
_symmetry_Int_Tables_number 156
_cell_length_a 3.3565
_cell_length_b 3.3565
_cell_length_c 8.9294
_cell_angle_alpha 90.00
_cell_angle_beta 90.00
_cell_angle_gamma 120.00
loop_
_symmetry_equiv_pos_as_xyz
'x,y,z'
'-y,x-y,z'
'-x+y,-x,z'
'-y,-x,z'
'-x+y,y,z'
'x,x-y,z'
loop_
_atom_site_label
_atom_site_type_symbol
_atom_site_fract_x
_atom_site_fract_y
_atom_site_fract_z
Re1 Re 0.0000 0.0000 0.0000
Re2 Re 0.3333 0.6667 0.2222
C1 C 0.6667 0.3333 0.0627
Se1 Se 0.3333 0.6667 0.7961
S1 S 0.0000 0.0000 0.3824

---

(10)
# CuC2N3 PBE optimized geometry
# DFT total energy: -180.371 eV/cell
data_CuC2N3
_symmetry_space_group_name_H-M 'C m c m'
_symmetry_Int_Tables_number 63
_symmetry_space_group_name_Hall '-C 2c 2'
_cell_length_a 3.472
_cell_length_b 5.983
_cell_length_c 15.377
_cell_angle_alpha 90.00
_cell_angle_beta 90.00
_cell_angle_gamma 90.00
loop_
_atom_site_label
_atom_site_type_symbol
_atom_site_fract_x
_atom_site_fract_y
_atom_site_fract_z
Cu1 Cu 0.000 0.000 0.000
C1 C 0.000 0.209 0.176
N1 N 0.000 0.140 0.104
N2 N 0.000 0.308 0.250

---

(11)
# BeHgTeOs PBE optimized geometry
# total magnetization: 0.0 μB/cell
# energy above the lowest structure with this stoichiometry: 203 meV/atom
data_BeHgTeOs
_symmetry_space_group_name_H-M 'F -4 3 m'
_symmetry_Int_Tables_number 216
_symmetry_space_group_name_Hall 'F -4 2 3'
_cell_length_a 6.639
_cell_length_b 6.639
_cell_length_c 6.639
_cell_angle_alpha 90.00
_cell_angle_beta 90.00
_cell_angle_gamma 90.00
loop_
_atom_site_label
_atom_site_type_symbol
_atom_site_fract_x
_atom_site_fract_y
_atom_site_fract_z
Be1 Be 0.000 0.000 0.000
Hg1 Hg 0.000 0.000 0.500
Te1 Te 0.250 0.250 0.250
Os1 Os 0.250 0.250 0.750

---

(12)
# Cu13Ag27 PBE optimized geometry
# formation enthalpy at 0 K: 80 meV/atom
data_Cu13Ag27
_symmetry_space_group_name_H-M 'P 1'
_symmetry_Int_Tables_number 1
_cell_length_a 4.907
_cell_length_b 10.213
_cell_length_c 13.514
_cell_angle_alpha 71.60
_cell_angle_beta 87.02
_cell_angle_gamma 85.56
loop_
_symmetry_equiv_pos_as_xyz
'x,y,z'
loop_
_atom_site_label
_atom_site_type_symbol
_atom_site_fract_x
_atom_site_fract_y
_atom_site_fract_z
Cu1 Cu 0.000 0.000 0.000
Cu2 Cu 0.036 0.370 0.460
Cu3 Cu 0.078 0.139 0.413
Cu4 Cu 0.183 0.609 0.321
Cu5 Cu 0.229 0.368 0.277
Cu6 Cu 0.266 0.126 0.220
Cu7 Cu 0.304 0.886 0.167
Cu8 Cu 0.454 0.120 0.026
Cu9 Cu 0.492 0.489 0.487
Cu10 Cu 0.531 0.257 0.440
Cu11 Cu 0.573 0.623 0.928
Cu12 Cu 0.769 0.622 0.723
Cu13 Cu 0.897 0.498 0.100
Ag1 Ag 0.045 0.748 0.952
Ag2 Ag 0.081 0.504 0.902
Ag3 Ag 0.113 0.881 0.361
Ag4 Ag 0.146 0.246 0.850
Ag5 Ag 0.191 0.999 0.796
Ag6 Ag 0.255 0.742 0.749
Ag7 Ag 0.283 0.500 0.694
Ag8 Ag 0.334 0.256 0.635
Ag9 Ag 0.380 0.618 0.128
Ag10 Ag 0.386 0.002 0.590
Ag11 Ag 0.415 0.370 0.078
Ag12 Ag 0.457 0.738 0.544
Ag13 Ag 0.516 0.879 0.979
Ag14 Ag 0.586 0.010 0.392
Ag15 Ag 0.612 0.381 0.873
Ag16 Ag 0.625 0.745 0.341
Ag17 Ag 0.671 0.124 0.825
Ag18 Ag 0.713 0.491 0.301
Ag19 Ag 0.720 0.866 0.773
Ag20 Ag 0.761 0.251 0.248
Ag21 Ag 0.772 0.002 0.189
Ag22 Ag 0.806 0.380 0.664
Ag23 Ag 0.859 0.131 0.606
Ag24 Ag 0.863 0.748 0.150
Ag25 Ag 0.923 0.867 0.568
Ag26 Ag 0.946 0.243 0.048
Ag27 Ag 0.980 0.612 0.508

---

(13)
# Lu4InPN2 PBE optimized geometry
# total magnetization: 0.0 μB/cell
# DFT total energy: -53.182 eV/cell
data_Lu4InPN2
_symmetry_space_group_name_H-M 'P -6 m 2'
_symmetry_Int_Tables_number 187
_symmetry_space_group_name_Hall 'P -6 2'
_cell_length_a 3.5216
_cell_length_b 3.5216
_cell_length_c 13.7452
_cell_angle_alpha 90.00
_cell_angle_beta 90.00
_cell_angle_gamma 120.00
loop_
_atom_site_label
_atom_site_type_symbol
_atom_site_fract_x
_atom_site_fract_y
_atom_site_fract_z
Lu1 Lu 0.0000 0.0000 0.1281
Lu2 Lu 0.6667 0.3333 0.3174
In1 In 0.0000 0.0000 0.5000
P1 P 0.6667 0.3333 0.0000
N1 N 0.3333 0.6667 0.2293

---

(14)
# Nd3Y2ErFeTe2 PBE optimized geometry
# total magnetization: 0.9 μB/cell
# DFT total energy: -104.543 eV/cell
data_Nd3Y2ErFeTe2
_symmetry_space_group_name_H-M 'A m m 2'
_symmetry_Int_Tables_number 38
_cell_length_a 4.104
_cell_length_b 14.580
_cell_length_c 8.451
_cell_angle_alpha 90.00
_cell_angle_beta 90.00
_cell_angle_gamma 90.00
loop_
_symmetry_equiv_pos_as_xyz
'x,y,z'
'-x,-y,z'
'-x,y,z'
'x,-y,z'
'x,y+1/2,z+1/2'
'-x,-y+1/2,z+1/2'
'-x,y+1/2,z+1/2'
'x,-y+1/2,z+1/2'
loop_
_atom_site_label
_atom_site_type_symbol
_atom_site_fract_x
_atom_site_fract_y
_atom_site_fract_z
Nd1 Nd 0.000 0.000 0.000
Nd2 Nd 0.000 0.200 0.606
Y1 Y 0.500 0.116 0.288
Er1 Er 0.500 0.000 0.637
Fe1 Fe 0.000 0.000 0.412
Te1 Te 0.500 0.167 0.905

---

(15)
# CsZn2Sb2 PBE optimized geometry
# DFT total energy: -25.198 eV/cell
data_CsZn2Sb2
_symmetry_space_group_name_H-M 'I 4/m m m'
_symmetry_Int_Tables_number 139
_symmetry_space_group_name_Hall '-I 4 2'
_cell_length_a 4.783
_cell_length_b 4.783
_cell_length_c 12.801
_cell_angle_alpha 90.00
_cell_angle_beta 90.00
_cell_angle_gamma 90.00
loop_
_atom_site_label
_atom_site_type_symbol
_atom_site_fract_x
_atom_site_fract_y
_atom_site_fract_z
Cs1 Cs 0.000 0.000 0.000
Zn1 Zn 0.000 0.500 0.250
Sb1 Sb 0.000 0.000 0.362

---

(16)
# LaTbFe2Si4 PBE optimized geometry
# total magnetization: 0.0 μB/cell
# DFT total energy: -53.401 eV/cell
data_LaTbFe2Si4
_symmetry_space_group_name_H-M 'P 1 m 1'
_symmetry_Int_Tables_number 6
_cell_length_a 4.337
_cell_length_b 4.020
_cell_length_c 8.087
_cell_angle_alpha 90.00
_cell_angle_beta 103.90
_cell_angle_gamma 90.00
loop_
_symmetry_equiv_pos_as_xyz
'x,y,z'
'x,-y,z'
loop_
_atom_site_label
_atom_site_type_symbol
_atom_site_fract_x
_atom_site_fract_y
_atom_site_fract_z
La1 La 0.000 0.000 0.000
Tb1 Tb 0.792 0.500 0.587
Fe1 Fe 0.282 0.000 0.407
Fe2 Fe 0.515 0.500 0.189
Si1 Si 0.073 0.500 0.296
Si2 Si 0.351 0.000 0.695
Si3 Si 0.440 0.500 0.889
Si4 Si 0.724 0.000 0.304

---

(17)
# HfU PBE optimized geometry
# total magnetization: 8.3 μB/cell
# formation enthalpy at 0 K: 1437 meV/atom
data_HfU
_symmetry_space_group_name_H-M 'F m -3 m'
_symmetry_Int_Tables_number 225
_symmetry_space_group_name_Hall '-F 4 2 3'
_cell_length_a 5.777
_cell_length_b 5.777
_cell_length_c 5.777
_cell_angle_alpha 90.00
_cell_angle_beta 90.00
_cell_angle_gamma 90.00
loop_
_atom_site_label
_atom_site_type_symbol
_atom_site_fract_x
_atom_site_fract_y
_atom_site_fract_z
Hf1 Hf 0.000 0.000 0.000
U1 U 0.000 0.000 0.500

---

(18)
# SrCo2 PBE optimized geometry
# total magnetization: 0.7 μB/cell
# DFT total energy: -21.515 eV/cell
data_SrCo2
_symmetry_space_group_name_H-M 'P 42/m n m'
_symmetry_Int_Tables_number 136
_symmetry_space_group_name_Hall '-P 4n 2n'
_cell_length_a 5.292
_cell_length_b 5.292
_cell_length_c 5.717
_cell_angle_alpha 90.00
_cell_angle_beta 90.00
_cell_angle_gamma 90.00
loop_
_atom_site_label
_atom_site_type_symbol
_atom_site_fract_x
_atom_site_fract_y
_atom_site_fract_z
Sr1 Sr 0.000 0.000 0.000
Co1 Co 0.137 0.137 0.500

---

(19)
# Ta3NO6 PBE optimized geometry
# total magnetization: 0.0 μB/cell
# DFT total energy: -595.948 eV/cell
data_Ta3NO6
_symmetry_space_group_name_H-M 'C 1 m 1'
_symmetry_Int_Tables_number 8
_cell_length_a 20.726
_cell_length_b 3.864
_cell_length_c 11.929
_cell_angle_alpha 90.00
_cell_angle_beta 120.00
_cell_angle_gamma 90.00
loop_
_symmetry_equiv_pos_as_xyz
'x,y,z'
'x,-y,z'
'x+1/2,y+1/2,z'
'x+1/2,-y+1/2,z'
loop_
_atom_site_label
_atom_site_type_symbol
_atom_site_fract_x
_atom_site_fract_y
_atom_site_fract_z
Ta1 Ta 0.000 0.000 0.000
Ta2 Ta 0.024 0.000 0.746
Ta3 Ta 0.104 0.000 0.373
Ta4 Ta 0.184 0.000 0.006
Ta5 Ta 0.212 0.000 0.745
Ta6 Ta 0.289 0.000 0.375
Ta7 Ta 0.313 0.500 0.003
Ta8 Ta 0.396 0.000 0.743
Ta9 Ta 0.421 0.500 0.373
N1 N 0.080 0.000 0.954
N2 N 0.276 0.000 0.962
N3 N 0.431 0.500 0.777
O1 O 0.005 0.000 0.357
O2 O 0.007 0.500 0.744
O3 O 0.056 0.000 0.179
O4 O 0.105 0.500 0.373
O5 O 0.128 0.000 0.787
O6 O 0.150 0.000 0.567
O7 O 0.201 0.500 0.996
O8 O 0.205 0.000 0.390
O9 O 0.229 0.500 0.785
O10 O 0.233 0.000 0.187
O11 O 0.308 0.000 0.748
O12 O 0.314 0.500 0.376
O13 O 0.353 0.000 0.564
O14 O 0.357 0.500 0.182
O15 O 0.395 0.000 0.371
O16 O 0.397 0.500 0.986
O17 O 0.476 0.000 0.955
O18 O 0.478 0.500 0.561

---

(20)
# Li2Ta2S3O PBE optimized geometry
# total magnetization: 0.0 μB/cell
# DFT total energy: -56.340 eV/cell
data_Li2Ta2S3O
_symmetry_space_group_name_H-M 'P 3 m 1'
_symmetry_Int_Tables_number 156
_cell_length_a 3.2236
_cell_length_b 3.2236
_cell_length_c 12.6562
_cell_angle_alpha 90.00
_cell_angle_beta 90.00
_cell_angle_gamma 120.00
loop_
_symmetry_equiv_pos_as_xyz
'x,y,z'
'-y,x-y,z'
'-x+y,-x,z'
'-y,-x,z'
'-x+y,y,z'
'x,x-y,z'
loop_
_atom_site_label
_atom_site_type_symbol
_atom_site_fract_x
_atom_site_fract_y
_atom_site_fract_z
Li1 Li 0.0000 0.0000 0.0000
Li2 Li 0.0000 0.0000 0.4773
Ta1 Ta 0.0000 0.0000 0.2161
Ta2 Ta 0.0000 0.0000 0.7379
S1 S 0.3333 0.6667 0.3425
S2 S 0.6667 0.3333 0.6095
S3 S 0.6667 0.3333 0.8661
O1 O 0.3333 0.6667 0.1147